1.
{
  "formula": "TlGaGe2",
  "functional": "PBE",
  "state": "optimized geometry",
  "lattice_angstrom": [[3.9878, 0.0000, 0.0000], [1.9939, 3.4535, 0.0000], [1.9939, 1.1512, 6.8368]],
  "species": ["Ge", "Ge", "Tl", "Ga"],
  "fractional_positions": [[0.7279, 0.7279, 0.8164], [0.2721, 0.2721, 0.1836], [0.5000, 0.5000, 0.5000], [0.0000, 0.0000, 0.0000]],
  "sg": "No. 166",
  "dft_energy_ev_per_atom": -3.46,
  "ef_kcal_per_mol_atoms": 4.637
}

2.
{
  "formula": "Al3SiMo",
  "functional": "PBE",
  "state": "optimized geometry",
  "lattice_angstrom": [[-2.3122, -3.9986, -0.7014], [3.5564, -1.6059, -2.5690], [1.9576, -1.8053, 3.8387]],
  "species": ["Mo", "Al", "Al", "Al", "Si"],
  "fractional_positions": [[0.5000, 0.5000, 0.5000], [0.0000, 0.5000, 0.0000], [0.5000, 0.0000, 0.0000], [0.0000, 0.0000, 0.5000], [0.0000, 0.0000, 0.0000]],
  "sg": "No. 221",
  "dft_energy_ev_per_atom": -4.40,
  "formation_energy_uncorrected_ev_per_atom": 1.10
}

3.
{
  "formula": "SrNi4P3",
  "functional": "PBE",
  "state": "optimized geometry",
  "lattice_angstrom": [[-0.8404, 3.6738, 0.0689], [-0.3017, 0.0015, -3.7572], [-8.3300, -1.9180, 0.6682]],
  "species": ["Ni", "Ni", "Ni", "Ni", "Sr", "P", "P", "P"],
  "fractional_positions": [[0.0000, 0.5000, 0.1531], [0.0000, 0.5000, 0.8469], [0.5000, 0.0000, 0.1531], [0.5000, 0.0000, 0.8469], [0.0000, 0.0000, 0.5000], [0.5000, 0.5000, 0.7066], [0.5000, 0.5000, 0.2934], [0.0000, 0.0000, 0.0000]],
  "sg": "No. 123",
  "dft_energy_ev_per_atom": -5.80,
  "ef_kcal_per_mol_atoms": -15.512
}

4.
{
  "formula": "Ce2PmYN4",
  "functional": "PBE",
  "state": "optimized geometry",
  "lattice_angstrom": [[3.5568, 0.0000, 0.0000], [0.0000, 6.1640, 0.1087], [0.0000, -2.1537, 5.7640]],
  "species": ["N", "N", "N", "N", "Ce", "Ce", "Y", "Pm"],
  "fractional_positions": [[0.5000, 0.7539, 0.7463], [0.5000, 0.2461, 0.2537], [0.0000, 0.2421, 0.7419], [0.0000, 0.7579, 0.2581], [0.0000, 0.5000, 0.5000], [0.5000, 0.0000, 0.5000], [0.0000, 0.0000, 0.0000], [0.5000, 0.5000, 0.0000]],
  "sg": "No. 10",
  "dft_energy_ev_per_atom": -8.58,
  "formation_energy_uncorrected_ev_per_atom": -1.54
}

5.
{
  "formula": "IrPdI2N",
  "functional": "PBE",
  "state": "optimized geometry",
  "lattice_angstrom": [[5.4985, 0.0000, 0.0000], [0.0000, 5.4985, 0.0000], [0.0000, 0.0000, 3.6616]],
  "species": ["Pd", "I", "I", "N", "Ir"],
  "fractional_positions": [[0.0000, 0.0000, 0.0000], [0.0000, 0.5000, 0.0000], [0.5000, 0.0000, 0.0000], [0.0000, 0.0000, 0.5000], [0.5000, 0.5000, 0.5000]],
  "sg": "No. 123",
  "dft_energy_ev_per_atom": -3.71,
  "formation_energy_uncorrected_ev_per_atom": 1.39
}

6.
{
  "formula": "In2CuHgGe",
  "functional": "PBE",
  "state": "optimized geometry",
  "lattice_angstrom": [[5.2210, 0.0000, 0.0000], [0.0000, 5.2210, 0.0000], [0.0000, 0.0000, 4.6464]],
  "species": ["Cu", "In", "In", "Hg", "Ge"],
  "fractional_positions": [[0.0000, 0.0000, 0.0000], [0.0000, 0.5000, 0.0000], [0.5000, 0.0000, 0.0000], [0.5000, 0.5000, 0.5000], [0.0000, 0.0000, 0.5000]],
  "sg": "No. 123",
  "dft_energy_ev_per_atom": -2.70,
  "ef_kcal_per_mol_atoms": 4.662
}

7.
{
  "formula": "Yb2TiO5",
  "functional": "PBE",
  "state": "optimized geometry",
  "lattice_angstrom": [[2.0488, -5.5033, 0.0000], [2.0488, 5.5033, 0.0000], [0.0000, 0.0000, 10.4559]],
  "species": ["Ti", "Ti", "Yb", "Yb", "Yb", "Yb", "O", "O", "O", "O", "O", "O", "O", "O", "O", "O"],
  "fractional_positions": [[0.8263, 0.1737, 0.2500], [0.1737, 0.8263, 0.7500], [0.1435, 0.8565, 0.4307], [0.8565, 0.1435, 0.9307], [0.1435, 0.8565, 0.0693], [0.8565, 0.1435, 0.5693], [0.2746, 0.7254, 0.2500], [0.9482, 0.0518, 0.1255], [0.7104, 0.2896, 0.0928], [0.2896, 0.7104, 0.5928], [0.7254, 0.2746, 0.7500], [0.9482, 0.0518, 0.3745], [0.0518, 0.9482, 0.6255], [0.7104, 0.2896, 0.4072], [0.2896, 0.7104, 0.9072], [0.0518, 0.9482, 0.8745]],
  "sg": "No. 63",
  "dft_energy_ev_per_atom": -7.31,
  "formation_energy_uncorrected_ev_per_atom": -2.84
}

8.
{
  "formula": "La2TeSe2",
  "functional": "PBE",
  "state": "optimized geometry",
  "lattice_angstrom": [[8.4973, 0.0000, 0.0000], [0.0000, 8.4973, 0.0000], [0.0000, 0.0000, 4.0235]],
  "species": ["La", "La", "La", "La", "Te", "Te", "Se", "Se", "Se", "Se"],
  "fractional_positions": [[0.3357, 0.8357, 0.0000], [0.8357, 0.6643, 0.0000], [0.6643, 0.1643, 0.0000], [0.1643, 0.3357, 0.0000], [0.5000, 0.5000, 0.0000], [0.0000, 0.0000, 0.0000], [0.1361, 0.6361, 0.5000], [0.8639, 0.3639, 0.5000], [0.6361, 0.8639, 0.5000], [0.3639, 0.1361, 0.5000]],
  "sg": "No. 127",
  "dft_energy_ev_per_atom": -5.76,
  "formation_energy_uncorrected_ev_per_atom": -1.77
}

Number 1: V 94.2 Å³/f.u.. Number 2: V 102.0 Å³/f.u.. Number 3: V 121.8 Å³/f.u.. Number 4: V 127.2 Å³/f.u.. Number 5: V 110.7 Å³/f.u.. Number 6: V 126.7 Å³/f.u.. Number 7: V 117.9 Å³/f.u.. Number 8: V 145.3 Å³/f.u..